DFT (GGA-PBE) results for a geometry-optimized CuSnGe2 structure.

Results
For the mass density, the calculation gives 6.01 Mg/m³. The total energy comes out at -65.91 eV for the cell shown.

The structure in CIF format:
```
data_CuSnGe2
_cell_length_a 4.869
_cell_length_b 4.869
_cell_length_c 15.275
_cell_angle_alpha 90.00
_cell_angle_beta 90.00
_cell_angle_gamma 90.00
_symmetry_space_group_name_H-M 'I -4 2 d'
_symmetry_Int_Tables_number 122
_symmetry_space_group_name_Hall 'I -4 2bw'
loop_
_atom_site_label
_atom_site_type_symbol
_atom_site_fract_x
_atom_site_fract_y
_atom_site_fract_z
_atom_site_occupancy
Cu1 Cu 0.000 0.000 0.000 1
Sn1 Sn 0.000 0.000 0.500 1
Ge1 Ge 0.160 0.250 0.125 1
```

---

DFT (GGA-PBE) results for a geometry-optimized Cu4SnGe structure.

Results
For the mass density, the calculation gives 8.25 Mg/m³. The total energy comes out at -99.98 eV for the cell shown.

The structure in CIF format:
```
data_Cu4SnGe
_cell_length_a 3.775
_cell_length_b 18.159
_cell_length_c 5.230
_cell_angle_alpha 90.00
_cell_angle_beta 90.00
_cell_angle_gamma 90.00
_symmetry_space_group_name_H-M 'C m c m'
_symmetry_Int_Tables_number 63
_symmetry_space_group_name_Hall '-C 2c 2'
loop_
_atom_site_label
_atom_site_type_symbol
_atom_site_fract_x
_atom_site_fract_y
_atom_site_fract_z
_atom_site_occupancy
Cu1 Cu 0.000 0.000 0.000 1
Cu2 Cu 0.000 0.142 0.000 1
Cu3 Cu 0.000 0.427 0.250 1
Sn1 Sn 0.000 0.272 0.250 1
Ge1 Ge 0.000 0.427 0.750 1
```

---

DFT (GGA-PBE) results for a geometry-optimized CuSnGe structure.

Results
For the mass density, the calculation gives 6.97 Mg/m³. The total energy comes out at -49.74 eV for the cell shown.

The structure in CIF format:
```
data_CuSnGe
_cell_length_a 6.239
_cell_length_b 6.239
_cell_length_c 6.239
_cell_angle_alpha 90.00
_cell_angle_beta 90.00
_cell_angle_gamma 90.00
_symmetry_space_group_name_H-M 'F -4 3 m'
_symmetry_Int_Tables_number 216
_symmetry_space_group_name_Hall 'F -4 2 3'
loop_
_atom_site_label
_atom_site_type_symbol
_atom_site_fract_x
_atom_site_fract_y
_atom_site_fract_z
_atom_site_occupancy
Cu1 Cu 0.000 0.000 0.000 1
Sn1 Sn 0.250 0.250 0.750 1
Ge1 Ge 0.250 0.250 0.250 1
```

---

DFT (GGA-PBE) results for a geometry-optimized Cu6SnGe structure.

Results
For the mass density, the calculation gives 8.66 Mg/m³. The total energy comes out at -33.14 eV for the cell shown.

The structure in CIF format:
```
data_Cu6SnGe
_cell_length_a 5.4594
_cell_length_b 5.4594
_cell_length_c 4.2558
_cell_angle_alpha 90.00
_cell_angle_beta 90.00
_cell_angle_gamma 120.00
_symmetry_space_group_name_H-M 'P -6 m 2'
_symmetry_Int_Tables_number 187
_symmetry_space_group_name_Hall 'P -6 2'
loop_
_atom_site_label
_atom_site_type_symbol
_atom_site_fract_x
_atom_site_fract_y
_atom_site_fract_z
_atom_site_occupancy
Cu1 Cu 0.0197 0.5098 0.0000 1
Cu2 Cu 0.1690 0.3381 0.5000 1
Sn1 Sn 0.6667 0.3333 0.5000 1
Ge1 Ge 0.0000 0.0000 0.0000 1
```

---

DFT (GGA-PBE) results for a geometry-optimized Cu6SnGe structure.

Results
For the mass density, the calculation gives 8.64 Mg/m³. The total energy comes out at -33.16 eV for the cell shown.

The structure in CIF format:
```
data_Cu6SnGe
_cell_length_a 4.238
_cell_length_b 5.601
_cell_length_c 4.636
_cell_angle_alpha 90.00
_cell_angle_beta 90.00
_cell_angle_gamma 90.00
_symmetry_space_group_name_H-M 'P m m 2'
_symmetry_Int_Tables_number 25
loop_
_symmetry_equiv_pos_as_xyz
'x,y,z'
'-x,-y,z'
'-x,y,z'
'x,-y,z'
loop_
_atom_site_label
_atom_site_type_symbol
_atom_site_fract_x
_atom_site_fract_y
_atom_site_fract_z
_atom_site_occupancy
Cu1 Cu 0.000 0.000 0.000 1
Cu2 Cu 0.000 0.234 0.500 1
Cu3 Cu 0.500 0.233 0.827 1
Cu4 Cu 0.500 0.500 0.370 1
Sn1 Sn 0.000 0.500 0.994 1
Ge1 Ge 0.500 0.000 0.330 1
```

---

DFT (GGA-PBE) results for a geometry-optimized Cu3SnGe structure.

Results
For the mass density, the calculation gives 6.66 Mg/m³. The total energy comes out at -18.85 eV for the cell shown.

The structure in CIF format:
```
data_Cu3SnGe
_cell_length_a 4.568
_cell_length_b 4.568
_cell_length_c 4.568
_cell_angle_alpha 90.00
_cell_angle_beta 90.00
_cell_angle_gamma 90.00
_symmetry_space_group_name_H-M 'P m -3 m'
_symmetry_Int_Tables_number 221
_symmetry_space_group_name_Hall '-P 4 2 3'
loop_
_atom_site_label
_atom_site_type_symbol
_atom_site_fract_x
_atom_site_fract_y
_atom_site_fract_z
_atom_site_occupancy
Cu1 Cu 0.000 0.000 0.500 1
Sn1 Sn 0.500 0.500 0.500 1
Ge1 Ge 0.000 0.000 0.000 1
```

---

DFT (GGA-PBE) results for a geometry-optimized Cu2Sn4Ge structure.

Results
For the mass density, the calculation gives 6.00 Mg/m³. The total energy comes out at -51.23 eV for the cell shown.

The structure in CIF format:
```
data_Cu2Sn4Ge
_cell_length_a 5.355
_cell_length_b 5.355
_cell_length_c 13.015
_cell_angle_alpha 90.00
_cell_angle_beta 90.00
_cell_angle_gamma 90.00
_symmetry_space_group_name_H-M 'I 4/m m m'
_symmetry_Int_Tables_number 139
_symmetry_space_group_name_Hall '-I 4 2'
loop_
_atom_site_label
_atom_site_type_symbol
_atom_site_fract_x
_atom_site_fract_y
_atom_site_fract_z
_atom_site_occupancy
Cu1 Cu 0.000 0.000 0.090 1
Sn1 Sn 0.000 0.000 0.283 1
Sn2 Sn 0.000 0.500 0.000 1
Ge1 Ge 0.000 0.000 0.500 1
```

---

DFT (GGA-PBE) results for a geometry-optimized Cu2SnGe structure.

Results
For the mass density, the calculation gives 7.10 Mg/m³. The total energy comes out at -64.57 eV for the cell shown.

The structure in CIF format:
```
data_Cu2SnGe
_cell_length_a 4.270
_cell_length_b 4.270
_cell_length_c 16.342
_cell_angle_alpha 90.00
_cell_angle_beta 90.00
_cell_angle_gamma 90.00
_symmetry_space_group_name_H-M 'I -4 2 d'
_symmetry_Int_Tables_number 122
_symmetry_space_group_name_Hall 'I -4 2bw'
loop_
_atom_site_label
_atom_site_type_symbol
_atom_site_fract_x
_atom_site_fract_y
_atom_site_fract_z
_atom_site_occupancy
Cu1 Cu 0.183 0.250 0.125 1
Sn1 Sn 0.000 0.000 0.500 1
Ge1 Ge 0.000 0.000 0.000 1
```

---

DFT (GGA-PBE) results for a geometry-optimized CuSnGe3 structure.

Results
For the mass density, the calculation gives 6.10 Mg/m³. The total energy comes out at -19.98 eV for the cell shown.

The structure in CIF format:
```
data_CuSnGe3
_cell_length_a 4.777
_cell_length_b 4.777
_cell_length_c 4.777
_cell_angle_alpha 90.00
_cell_angle_beta 90.00
_cell_angle_gamma 90.00
_symmetry_space_group_name_H-M 'P m -3 m'
_symmetry_Int_Tables_number 221
_symmetry_space_group_name_Hall '-P 4 2 3'
loop_
_atom_site_label
_atom_site_type_symbol
_atom_site_fract_x
_atom_site_fract_y
_atom_site_fract_z
_atom_site_occupancy
Cu1 Cu 0.000 0.000 0.000 1
Sn1 Sn 0.500 0.500 0.500 1
Ge1 Ge 0.000 0.000 0.500 1
```

---

DFT (GGA-PBE) results for a geometry-optimized CuSn3Ge structure.

Results
For the mass density, the calculation gives 6.25 Mg/m³. The total energy comes out at -18.82 eV for the cell shown.

The structure in CIF format:
```
data_CuSn3Ge
_cell_length_a 5.076
_cell_length_b 5.076
_cell_length_c 5.076
_cell_angle_alpha 90.00
_cell_angle_beta 90.00
_cell_angle_gamma 90.00
_symmetry_space_group_name_H-M 'P m -3 m'
_symmetry_Int_Tables_number 221
_symmetry_space_group_name_Hall '-P 4 2 3'
loop_
_atom_site_label
_atom_site_type_symbol
_atom_site_fract_x
_atom_site_fract_y
_atom_site_fract_z
_atom_site_occupancy
Cu1 Cu 0.000 0.000 0.000 1
Sn1 Sn 0.000 0.000 0.500 1
Ge1 Ge 0.500 0.500 0.500 1
```

---

DFT (GGA-PBE) results for a geometry-optimized CuSnGe structure.

Results
For the mass density, the calculation gives 6.95 Mg/m³. The total energy comes out at -12.24 eV for the cell shown.

The structure in CIF format:
```
data_CuSnGe
_cell_length_a 4.2105
_cell_length_b 4.2105
_cell_length_c 3.9665
_cell_angle_alpha 90.00
_cell_angle_beta 90.00
_cell_angle_gamma 120.00
_symmetry_space_group_name_H-M 'P 3 m 1'
_symmetry_Int_Tables_number 156
loop_
_symmetry_equiv_pos_as_xyz
'x,y,z'
'-y,x-y,z'
'-x+y,-x,z'
'-y,-x,z'
'-x+y,y,z'
'x,x-y,z'
loop_
_atom_site_label
_atom_site_type_symbol
_atom_site_fract_x
_atom_site_fract_y
_atom_site_fract_z
_atom_site_occupancy
Cu1 Cu 0.0000 0.0000 0.0000 1
Sn1 Sn 0.6667 0.3333 0.4375 1
Ge1 Ge 0.3333 0.6667 0.9416 1
```

---

DFT (GGA-PBE) results for a geometry-optimized Cu6SnGe structure.

Results
For the mass density, the calculation gives 8.50 Mg/m³. The total energy comes out at -65.39 eV for the cell shown.

The structure in CIF format:
```
data_Cu6SnGe
_cell_length_a 3.784
_cell_length_b 7.400
_cell_length_c 7.989
_cell_angle_alpha 90.00
_cell_angle_beta 90.00
_cell_angle_gamma 90.00
_symmetry_space_group_name_H-M 'A m m 2'
_symmetry_Int_Tables_number 38
loop_
_symmetry_equiv_pos_as_xyz
'x,y,z'
'-x,-y,z'
'-x,y,z'
'x,-y,z'
'x,y+1/2,z+1/2'
'-x,-y+1/2,z+1/2'
'-x,y+1/2,z+1/2'
'x,-y+1/2,z+1/2'
loop_
_atom_site_label
_atom_site_type_symbol
_atom_site_fract_x
_atom_site_fract_y
_atom_site_fract_z
_atom_site_occupancy
Cu1 Cu 0.000 0.000 0.000 1
Cu2 Cu 0.000 0.236 0.275 1
Cu3 Cu 0.500 0.000 0.781 1
Cu4 Cu 0.500 0.243 0.008 1
Sn1 Sn 0.000 0.000 0.544 1
Ge1 Ge 0.500 0.000 0.229 1
```

---

DFT (GGA-PBE) results for a geometry-optimized CuSnGe2 structure.

Results
For the mass density, the calculation gives 6.73 Mg/m³. The total energy comes out at -49.84 eV for the cell shown.

The structure in CIF format:
```
data_CuSnGe2
_cell_length_a 3.9546
_cell_length_b 3.9546
_cell_length_c 17.8965
_cell_angle_alpha 90.00
_cell_angle_beta 90.00
_cell_angle_gamma 120.00
_symmetry_space_group_name_H-M 'R -3 m'
_symmetry_Int_Tables_number 166
_symmetry_space_group_name_Hall '-R 3 2"'
loop_
_atom_site_label
_atom_site_type_symbol
_atom_site_fract_x
_atom_site_fract_y
_atom_site_fract_z
_atom_site_occupancy
Cu1 Cu 0.0000 0.0000 0.0000 1
Sn1 Sn 0.0000 0.0000 0.5000 1
Ge1 Ge 0.0000 0.0000 0.2751 1
```